8
Lattice="3.4829 0.0000 0.0000 0.0000 5.5242 0.0000 0.0000 0.0000 11.1990" Properties=species:S:1:pos:R:3 comment="CeTmSc2 | Alexandria via LeMat-Bulk | GGA-PBE | optimized geometry" e_form_ev_per_atom=0.15 relative_energy_mev_per_atom=86 space_group=Cmmm pbc="T T T"
Ce 0.0000 0.0000 0.0000
Ce 1.7414 2.7621 0.0000
Tm 0.0000 0.0000 5.5995
Tm 1.7414 2.7621 5.5995
Sc 0.0000 2.7621 2.8127
Sc 0.0000 2.7621 8.3863
Sc 1.7414 0.0000 2.8127
Sc 1.7414 0.0000 8.3863

8
Lattice="9.6228 0.0000 0.0000 0.0000 3.1244 0.0000 -0.8010 0.0000 4.4967" Properties=species:S:1:pos:R:3 comment="TeMo2Ru | Alexandria via LeMat-Bulk | GGA-PBE | optimized geometry" formation_energy_uncorrected_ev_per_atom=0.30 space_group=C2/m pbc="T T T"
Te 0.0000 0.0000 0.0000
Te 4.8114 1.5622 0.0000
Mo 1.7538 0.0000 3.2335
Mo 2.2567 1.5622 1.2632
Mo 6.5652 1.5622 3.2335
Mo 7.0680 0.0000 1.2632
Ru -0.4005 1.5622 2.2483
Ru 4.4109 0.0000 2.2483

4
Lattice="3.8536 0.0000 0.0000 0.0000 3.8536 0.0000 0.0000 0.0000 6.5559" Properties=species:S:1:pos:R:3 comment="NpTlAs2 | Alexandria via LeMat-Bulk | GGA-PBE | optimized geometry" e_form_ev_per_atom=-0.28 relative_energy_mev_per_atom=0 space_group=P4/mmm pbc="T T T"
Np 0.0000 0.0000 0.0000
Tl 0.0000 0.0000 3.2779
As 1.9268 1.9268 1.2743
As 1.9268 1.9268 5.2816